(1)
Below is crystalline LaNd2Cd3Pt2Au at its relaxed geometry, with properties calculated at the PBE level.

The formation energy comes out at -7.3 eV/f.u.

It has space group Amm2 (No. 38), with a = 4.050 Å, b = 13.514 Å, c = 7.848 Å, α = 90.00°, β = 90.00° and γ = 90.00°. Symmetry generates all atoms from La at (0.000, 0.000, 0.000), Nd at (0.000, 0.205, 0.618), Cd at (0.500, 0.000, 0.668), Cd at (0.500, 0.130, 0.286), Pt at (0.500, 0.166, 0.913) and Au at (0.000, 0.000, 0.414).

***

(2)
Below is crystalline La2NdCd3Pt2Au at its relaxed geometry, with properties calculated at the PBE level.

The formation energy comes out at -7.4 eV/f.u.

It has space group Amm2 (No. 38), with a = 4.069 Å, b = 13.594 Å, c = 7.840 Å, α = 90.00°, β = 90.00° and γ = 90.00°. Symmetry generates all atoms from La at (0.000, 0.206, 0.000), Nd at (0.000, 0.000, 0.617), Cd at (0.500, 0.000, 0.949), Cd at (0.500, 0.128, 0.335), Pt at (0.500, 0.166, 0.706) and Au at (0.000, 0.000, 0.207).

***

(3)
Below is crystalline La2NdCd2Si4Au2 at its relaxed geometry, with properties calculated at the PBE level.

The total energy is -4.6986 eV/atom.

It has space group Immm (No. 71), with a = 4.331 Å, b = 4.357 Å, c = 26.061 Å, α = 90.00°, β = 90.00° and γ = 90.00°. Symmetry generates all atoms from La at (0.000, 0.000, 0.141), Nd at (0.000, 0.500, 0.000), Cd at (0.000, 0.500, 0.250), Si at (0.000, 0.000, 0.315), Si at (0.000, 0.500, 0.455) and Au at (0.000, 0.000, 0.410).

***

(4)
Below is crystalline La2Cd4NiAu at its relaxed geometry, with properties calculated at the PBE level.

The formation energy comes out at -3.6 eV/f.u.

It has space group Amm2 (No. 38), with a = 8.391 Å, b = 4.371 Å, c = 10.143 Å, α = 90.00°, β = 90.00° and γ = 90.00°. Symmetry generates all atoms from La at (0.000, 0.000, 0.000), La at (0.500, 0.000, 0.128), Cd at (0.212, 0.000, 0.711), Cd at (0.313, 0.000, 0.422), Ni at (0.500, 0.000, 0.845) and Au at (0.000, 0.000, 0.292).

***

(5)
Below is crystalline LaCdAu2O at its relaxed geometry, with properties calculated at the PBE level.

The total energy is -3.9199 eV/atom.

It has space group I-4m2 (No. 119), with a = 4.028 Å, b = 4.028 Å, c = 12.909 Å, α = 90.00°, β = 90.00° and γ = 90.00°. Symmetry generates all atoms from La at (0.000, 0.000, 0.000), Cd at (0.000, 0.500, 0.250), Au at (0.000, 0.000, 0.392) and O at (0.000, 0.500, 0.750).

***

(6)
Below is crystalline La2Cd4PdAu at its relaxed geometry, with properties calculated at the PBE level.

The formation energy comes out at -4.6 eV/f.u.

It has space group Amm2 (No. 38), with a = 8.459 Å, b = 4.413 Å, c = 10.249 Å, α = 90.00°, β = 90.00° and γ = 90.00°. Symmetry generates all atoms from La at (0.000, 0.000, 0.000), La at (0.500, 0.000, 0.132), Cd at (0.206, 0.000, 0.709), Cd at (0.306, 0.000, 0.426), Pd at (0.500, 0.000, 0.846) and Au at (0.000, 0.000, 0.293).

***

(7)
Below is crystalline La3Cd3Pd2Au at its relaxed geometry, with properties calculated at the PBE level.

The formation energy comes out at -6.3 eV/f.u.

It has space group P-62m (No. 189), with a = 7.8387 Å, b = 7.8387 Å, c = 4.1541 Å, α = 90.00°, β = 90.00° and γ = 120.00°. Symmetry generates all atoms from La at (0.0000, 0.5889, 0.0000), Cd at (0.0000, 0.2548, 0.5000), Pd at (0.3333, 0.6667, 0.5000) and Au at (0.0000, 0.0000, 0.0000).

***

(8)
Below is crystalline La3Cd3PdAu2 at its relaxed geometry, with properties calculated at the PBE level.

The formation energy comes out at -6.2 eV/f.u.

It has space group P-62m (No. 189), with a = 7.9017 Å, b = 7.9017 Å, c = 4.1393 Å, α = 90.00°, β = 90.00° and γ = 120.00°. Symmetry generates all atoms from La at (0.0000, 0.5945, 0.0000), Cd at (0.0000, 0.2445, 0.5000), Pd at (0.0000, 0.0000, 0.0000) and Au at (0.3333, 0.6667, 0.5000).

***

Q: Number 6 is which compound?
A: La2Cd4PdAu